1.
RbZnInSb: relaxed, GGA-PBE.

The magnetic moment comes out at 0.0 μB/cell. Its formation energy from raw total energies is -170 meV/atom.

```
data_RbZnInSb
_chemical_formula_sum 'Rb2 Zn2 In2 Sb2'
_symmetry_space_group_name_H-M 'P 4/n m m'
_symmetry_Int_Tables_number 129
_cell_length_a 4.3241
_cell_length_b 4.3241
_cell_length_c 14.8149
_cell_angle_alpha 90.00
_cell_angle_beta 90.00
_cell_angle_gamma 90.00
loop_
_symmetry_equiv_pos_as_xyz
'x,y,z'
'-x,-y,-z'
'-y+1/2,x,z'
'y+1/2,-x,-z'
'-x+1/2,-y+1/2,z'
'x+1/2,y+1/2,-z'
'y,-x+1/2,z'
'-y,x+1/2,-z'
'x+1/2,-y,-z'
'-x+1/2,y,z'
'-y,-x,-z'
'y,x,z'
'-x,y+1/2,-z'
'x,-y+1/2,z'
'y+1/2,x+1/2,-z'
'-y+1/2,-x+1/2,z'
loop_
_atom_site_label
_atom_site_fract_x
_atom_site_fract_y
_atom_site_fract_z
Rb1 0.2500 0.2500 0.2453
Zn1 0.2500 0.7500 0.5000
In1 0.2500 0.7500 0.0000
Sb1 0.2500 0.2500 0.6154
```


2.
Dy2YHg: relaxed, GGA-PBE.

As for the formation energy from the elements: -0.1585 eV per atom. The magnetic moment comes out at 0.0 μB/cell. The value obtained for the distance to the lowest polymorph of the same formula is 26.4 kJ/mol of formula units.

```
data_Dy2YHg
_chemical_formula_sum 'Dy6 Y3 Hg3'
_symmetry_space_group_name_H-M 'R -3 m'
_symmetry_Int_Tables_number 166
_symmetry_space_group_name_Hall '-R 3 2"'
_cell_length_a 3.6136
_cell_length_b 3.6136
_cell_length_c 31.7209
_cell_angle_alpha 90.00
_cell_angle_beta 90.00
_cell_angle_gamma 120.00
loop_
_atom_site_label
_atom_site_fract_x
_atom_site_fract_y
_atom_site_fract_z
Dy1 0.0000 0.0000 0.2426
Y1 0.0000 0.0000 0.0000
Hg1 0.0000 0.0000 0.5000
```


3.
Ti12FeSn6: relaxed, GGA-PBE.

As for the formation energy from the elements: -0.1555 eV per atom. The magnetic moment comes out at 5.5 μB/cell.

```
data_Ti12FeSn6
_chemical_formula_sum 'Ti36 Fe3 Sn18'
_symmetry_space_group_name_H-M 'R -3'
_symmetry_Int_Tables_number 148
_symmetry_space_group_name_Hall '-R 3'
_cell_length_a 10.0734
_cell_length_b 10.0734
_cell_length_c 11.9238
_cell_angle_alpha 90.00
_cell_angle_beta 90.00
_cell_angle_gamma 120.00
loop_
_atom_site_label
_atom_site_fract_x
_atom_site_fract_y
_atom_site_fract_z
Ti1 0.0487 0.8698 0.3087
Ti2 0.0629 0.2044 0.9088
Fe1 0.0000 0.0000 0.5000
Sn1 0.0274 0.5926 0.2152
```


4.
TmPuSe: relaxed, GGA-PBE.

The magnetic moment comes out at 2.7 μB/cell. The value obtained for the distance to the lowest polymorph of the same formula is 40.0 kJ/mol of formula units. Its formation energy from raw total energies is -693 meV/atom.

```
data_TmPuSe
_chemical_formula_sum 'Tm2 Pu2 Se2'
_symmetry_space_group_name_H-M 'P 4/n m m'
_symmetry_Int_Tables_number 129
_cell_length_a 3.5744
_cell_length_b 3.5744
_cell_length_c 10.7407
_cell_angle_alpha 90.00
_cell_angle_beta 90.00
_cell_angle_gamma 90.00
loop_
_symmetry_equiv_pos_as_xyz
'x,y,z'
'-x,-y,-z'
'-y+1/2,x,z'
'y+1/2,-x,-z'
'-x+1/2,-y+1/2,z'
'x+1/2,y+1/2,-z'
'y,-x+1/2,z'
'-y,x+1/2,-z'
'x+1/2,-y,-z'
'-x+1/2,y,z'
'-y,-x,-z'
'y,x,z'
'-x,y+1/2,-z'
'x,-y+1/2,z'
'y+1/2,x+1/2,-z'
'-y+1/2,-x+1/2,z'
loop_
_atom_site_label
_atom_site_fract_x
_atom_site_fract_y
_atom_site_fract_z
Tm1 0.2500 0.2500 0.2305
Pu1 0.2500 0.2500 0.5292
Se1 0.2500 0.2500 0.8673
```


5.
Ce3PaN4: relaxed, GGA-PBE.

The magnetic moment comes out at 0.0 μB/cell. Its formation energy from raw total energies is -1569 meV/atom.

```
data_Ce3PaN4
_chemical_formula_sum 'Ce6 Pa2 N8'
_symmetry_space_group_name_H-M 'C m m m'
_symmetry_Int_Tables_number 65
_symmetry_space_group_name_Hall '-C 2 2'
_cell_length_a 7.1112
_cell_length_b 10.0426
_cell_length_c 3.5536
_cell_angle_alpha 90.00
_cell_angle_beta 90.00
_cell_angle_gamma 90.00
loop_
_atom_site_label
_atom_site_fract_x
_atom_site_fract_y
_atom_site_fract_z
Ce1 0.0000 0.0000 0.0000
Ce2 0.2500 0.2500 0.5000
Pa1 0.0000 0.5000 0.0000
N1 0.0000 0.2615 0.0000
N2 0.2308 0.5000 0.5000
```


6.
Li2Tb2MgCd5: relaxed, GGA-PBE.

As for the formation energy from the elements: -0.2354 eV per atom. The magnetic moment comes out at 0.0 μB/cell.

```
data_Li2Tb2MgCd5
_chemical_formula_sum 'Li4 Tb4 Mg2 Cd10'
_symmetry_space_group_name_H-M 'P 4/m b m'
_symmetry_Int_Tables_number 127
_symmetry_space_group_name_Hall '-P 4 2ab'
_cell_length_a 10.5421
_cell_length_b 10.5421
_cell_length_c 3.9345
_cell_angle_alpha 90.00
_cell_angle_beta 90.00
_cell_angle_gamma 90.00
loop_
_atom_site_label
_atom_site_fract_x
_atom_site_fract_y
_atom_site_fract_z
Li1 0.1179 0.3821 0.0000
Tb1 0.1800 0.6800 0.0000
Mg1 0.0000 0.0000 0.0000
Cd1 0.0000 0.5000 0.5000
Cd2 0.0604 0.2069 0.5000
```


7.
CsScSi2: relaxed, GGA-PBE.

The magnetic moment comes out at 0.0 μB/cell. The value obtained for the distance to the lowest polymorph of the same formula is 0.0 kJ/mol of formula units. Its formation energy from raw total energies is 298 meV/atom.

```
data_CsScSi2
_chemical_formula_sum 'Cs4 Sc4 Si8'
_symmetry_space_group_name_H-M 'I 41/a m d'
_symmetry_Int_Tables_number 141
_cell_length_a 5.4515
_cell_length_b 5.4515
_cell_length_c 18.4536
_cell_angle_alpha 90.00
_cell_angle_beta 90.00
_cell_angle_gamma 90.00
loop_
_symmetry_equiv_pos_as_xyz
'x,y,z'
'-x,-y,-z'
'-y+1/4,x+3/4,z+1/4'
'y+1/4,-x+3/4,-z+1/4'
'-x+1/2,-y,z+1/2'
'x+1/2,y,-z+1/2'
'y+1/4,-x+1/4,z+3/4'
'-y+1/4,x+1/4,-z+3/4'
'x,-y,-z'
'-x,y,z'
'-y+1/4,-x+1/4,-z+3/4'
'y+1/4,x+1/4,z+3/4'
'-x+1/2,y,-z+1/2'
'x+1/2,-y,z+1/2'
'y+1/4,x+3/4,-z+1/4'
'-y+1/4,-x+3/4,z+1/4'
'x+1/2,y+1/2,z+1/2'
'-x+1/2,-y+1/2,-z+1/2'
'-y+3/4,x+1/4,z+3/4'
'y+3/4,-x+1/4,-z+3/4'
'-x,-y+1/2,z'
'x,y+1/2,-z'
'y+3/4,-x+3/4,z+1/4'
'-y+3/4,x+3/4,-z+1/4'
'x+1/2,-y+1/2,-z+1/2'
'-x+1/2,y+1/2,z+1/2'
'-y+3/4,-x+3/4,-z+1/4'
'y+3/4,x+3/4,z+1/4'
'-x,y+1/2,-z'
'x,-y+1/2,z'
'y+3/4,x+1/4,-z+3/4'
'-y+3/4,-x+1/4,z+3/4'
loop_
_atom_site_label
_atom_site_fract_x
_atom_site_fract_y
_atom_site_fract_z
Cs1 0.0000 0.2500 0.3750
Sc1 0.0000 0.2500 0.8750
Si1 0.0000 0.0000 0.0000
```


8.
BiPI2: relaxed, GGA-PBE.

The magnetic moment comes out at 0.0 μB/cell. The value obtained for the distance to the lowest polymorph of the same formula is 29.9 kJ/mol of formula units. Its formation energy from raw total energies is 671 meV/atom.

```
data_BiPI2
_chemical_formula_sum 'Bi4 P4 I8'
_symmetry_space_group_name_H-M 'F m -3 m'
_symmetry_Int_Tables_number 225
_symmetry_space_group_name_Hall '-F 4 2 3'
_cell_length_a 7.7080
_cell_length_b 7.7080
_cell_length_c 7.7080
_cell_angle_alpha 90.00
_cell_angle_beta 90.00
_cell_angle_gamma 90.00
loop_
_atom_site_label
_atom_site_fract_x
_atom_site_fract_y
_atom_site_fract_z
Bi1 0.0000 0.0000 0.0000
P1 0.0000 0.0000 0.5000
I1 0.2500 0.2500 0.2500
```


9.
Er2Zn3Cu12Ni: relaxed, GGA-PBE.

As for the formation energy from the elements: 0.1323 eV per atom. The magnetic moment comes out at 0.0 μB/cell.

```
data_Er2Zn3Cu12Ni
_chemical_formula_sum 'Er6 Zn9 Cu36 Ni3'
_symmetry_space_group_name_H-M 'R -3 m'
_symmetry_Int_Tables_number 166
_symmetry_space_group_name_Hall '-R 3 2"'
_cell_length_a 6.0621
_cell_length_b 6.0621
_cell_length_c 26.8646
_cell_angle_alpha 90.00
_cell_angle_beta 90.00
_cell_angle_gamma 120.00
loop_
_atom_site_label
_atom_site_fract_x
_atom_site_fract_y
_atom_site_fract_z
Er1 0.0000 0.0000 0.1485
Zn1 0.0000 0.5000 0.0000
Cu1 0.0376 0.5188 0.1001
Cu2 0.0712 0.5356 0.6155
Ni1 0.0000 0.0000 0.5000
```


10.
ScOsBr3: relaxed, GGA-PBE.

The magnetic moment comes out at 4.0 μB/cell. The value obtained for the distance to the lowest polymorph of the same formula is 0.0 kJ/mol of formula units. Its formation energy from raw total energies is 360 meV/atom.

```
data_ScOsBr3
_chemical_formula_sum 'Sc1 Os1 Br3'
_symmetry_space_group_name_H-M 'P m -3 m'
_symmetry_Int_Tables_number 221
_symmetry_space_group_name_Hall '-P 4 2 3'
_cell_length_a 5.3100
_cell_length_b 5.3100
_cell_length_c 5.3100
_cell_angle_alpha 90.00
_cell_angle_beta 90.00
_cell_angle_gamma 90.00
loop_
_atom_site_label
_atom_site_fract_x
_atom_site_fract_y
_atom_site_fract_z
Sc1 0.0000 0.0000 0.0000
Os1 0.5000 0.5000 0.5000
Br1 0.0000 0.0000 0.5000
```


11.
Pr3Al2GaPd9: relaxed, GGA-PBE.

As for the formation energy from the elements: -0.6286 eV per atom. The magnetic moment comes out at 0.0 μB/cell.

```
data_Pr3Al2GaPd9
_chemical_formula_sum 'Pr3 Al2 Ga1 Pd9'
_symmetry_space_group_name_H-M 'P -3 m 1'
_symmetry_Int_Tables_number 164
_symmetry_space_group_name_Hall '-P 3 2"'
_cell_length_a 5.8160
_cell_length_b 5.8160
_cell_length_c 10.9512
_cell_angle_alpha 90.00
_cell_angle_beta 90.00
_cell_angle_gamma 120.00
loop_
_atom_site_label
_atom_site_fract_x
_atom_site_fract_y
_atom_site_fract_z
Pr1 0.0000 0.0000 0.0000
Pr2 0.3333 0.6667 0.7285
Al1 0.3333 0.6667 0.1680
Ga1 0.0000 0.0000 0.5000
Pd1 0.0000 0.5000 0.0000
Pd2 0.1664 0.3328 0.3319
```


12.
Dy3Y2HoTm6: relaxed, GGA-PBE.

As for the formation energy from the elements: 0.0252 eV per atom. The magnetic moment comes out at 0.0 μB/cell.

```
data_Dy3Y2HoTm6
_chemical_formula_sum 'Dy6 Y4 Ho2 Tm12'
_symmetry_space_group_name_H-M 'C 1 2/m 1'
_symmetry_Int_Tables_number 12
_cell_length_a 6.0986
_cell_length_b 10.5505
_cell_length_c 11.6550
_cell_angle_alpha 90.00
_cell_angle_beta 100.02
_cell_angle_gamma 90.00
loop_
_symmetry_equiv_pos_as_xyz
'x,y,z'
'-x,-y,-z'
'-x,y,-z'
'x,-y,z'
'x+1/2,y+1/2,z'
'-x+1/2,-y+1/2,-z'
'-x+1/2,y+1/2,-z'
'x+1/2,-y+1/2,z'
loop_
_atom_site_label
_atom_site_fract_x
_atom_site_fract_y
_atom_site_fract_z
Dy1 0.0000 0.0000 0.0000
Dy2 0.0000 0.3333 0.0000
Y1 0.0000 0.1666 0.5000
Ho1 0.0000 0.5000 0.5000
Tm1 0.2488 0.5000 0.2494
Tm2 0.2499 0.1663 0.2494
```